[1]
This record from the Alexandria database describes Zr3Cd after structural relaxation. The functional is GGA-PBEsol. Values from VASP.

Summary:
As for the total magnetic moment: 0.0000 μB per atom. Its volume is 85.3 Å³/f.u. As for the energy: -28.54 eV for the cell shown. As for the density of states at the Fermi level: 4.6 states/eV/f.u.

Geometry as Quantum ESPRESSO input:
```
&SYSTEM
  ibrav = 0, nat = 4, ntyp = 2
/
ATOMIC_SPECIES
Zr 91.22 Zr.upf
Cd 112.41 Cd.upf
CELL_PARAMETERS angstrom
3.236 -4.284 0.000
3.236 4.284 0.000
0.000 0.000 3.075
ATOMIC_POSITIONS angstrom
Zr 0.000 0.000 0.000
Zr 1.618 2.142 1.537
Zr 1.618 -2.142 1.537
Cd 3.236 0.000 0.000
```


[2]
This record from the Alexandria database describes Zr2Cd after structural relaxation. The functional is GGA-PBEsol. Values from VASP.

Summary:
As for the total magnetic moment: 0.0000 μB per atom. Its volume is 63.8 Å³/f.u. As for the energy: -39.21 eV for the cell shown. As for the density of states at the Fermi level: 2.3 states/eV/f.u.

Geometry as Quantum ESPRESSO input:
```
&SYSTEM
  ibrav = 0, nat = 6, ntyp = 2
/
ATOMIC_SPECIES
Zr 91.22 Zr.upf
Cd 112.41 Cd.upf
CELL_PARAMETERS angstrom
6.197 -1.608 0.000
6.197 1.608 0.000
-1.613 0.000 6.401
ATOMIC_POSITIONS angstrom
Zr -0.373 0.000 1.624
Zr 3.468 0.000 2.658
Zr 7.314 0.000 3.743
Zr 11.155 0.000 4.777
Cd 2.613 0.000 5.898
Cd 8.169 0.000 0.503
```


[3]
This record from the Alexandria database describes ZrCd5 after structural relaxation. The functional is GGA-PBEsol. Values from VASP.

Summary:
As for the total magnetic moment: 0.0000 μB per atom. Its volume is 122.2 Å³/f.u. As for the energy: -15.66 eV for the cell shown. As for the density of states at the Fermi level: 2.6 states/eV/f.u.

Geometry as Quantum ESPRESSO input:
```
&SYSTEM
  ibrav = 0, nat = 6, ntyp = 2
/
ATOMIC_SPECIES
Zr 91.22 Zr.upf
Cd 112.41 Cd.upf
CELL_PARAMETERS angstrom
2.182 -6.297 0.000
2.182 6.297 0.000
0.000 0.000 4.446
ATOMIC_POSITIONS angstrom
Zr 0.000 0.000 0.000
Cd 2.182 4.253 2.223
Cd 2.182 2.167 0.000
Cd 2.182 0.000 2.223
Cd 2.182 -2.167 0.000
Cd 2.182 -4.253 2.223
```


[4]
This record from the Alexandria database describes Zr4Cd after structural relaxation. The functional is GGA-PBEsol. Values from VASP.

Summary:
As for the total magnetic moment: 0.0005 μB per atom. Its volume is 107.3 Å³/f.u. As for the energy: -37.84 eV for the cell shown. As for the density of states at the Fermi level: 6.3 states/eV/f.u.

Geometry as Quantum ESPRESSO input:
```
&SYSTEM
  ibrav = 0, nat = 5, ntyp = 2
/
ATOMIC_SPECIES
Zr 91.22 Zr.upf
Cd 112.41 Cd.upf
CELL_PARAMETERS angstrom
-3.556 3.556 2.122
3.556 -3.556 2.122
3.556 3.556 -2.122
ATOMIC_POSITIONS angstrom
Zr 4.921 0.798 0.000
Zr 0.798 2.191 0.000
Zr 2.758 1.365 2.122
Zr -1.365 2.758 2.122
Cd 0.000 0.000 2.122
```


[5]
This record from the Alexandria database describes Zr3Cd after structural relaxation. The functional is GGA-PBEsol. Values from VASP.

Summary:
As for the total magnetic moment: 0.0000 μB per atom. Its volume is 85.6 Å³/f.u. As for the energy: -114.16 eV for the cell shown. As for the density of states at the Fermi level: 5.1 states/eV/f.u.

Geometry as Quantum ESPRESSO input:
```
&SYSTEM
  ibrav = 0, nat = 16, ntyp = 2
/
ATOMIC_SPECIES
Zr 91.22 Zr.upf
Cd 112.41 Cd.upf
CELL_PARAMETERS angstrom
5.447 0.000 0.000
0.000 10.296 0.000
0.000 0.000 6.107
ATOMIC_POSITIONS angstrom
Zr 0.176 2.574 0.908
Zr 1.293 5.255 2.294
Zr 1.293 10.189 2.294
Zr 1.430 0.107 5.347
Zr 1.430 5.041 5.347
Zr 2.547 7.722 3.961
Zr 2.899 2.574 2.146
Zr 4.017 5.255 0.759
Zr 4.017 10.189 0.759
Zr 4.153 0.107 3.813
Zr 4.153 5.041 3.813
Zr 5.271 7.722 5.199
Cd 0.419 2.574 3.871
Cd 2.304 7.722 0.818
Cd 3.143 2.574 5.289
Cd 5.027 7.722 2.235
```


[6]
This record from the Alexandria database describes Zr5Cd after structural relaxation. The functional is GGA-PBEsol. Values from VASP.

Summary:
As for the total magnetic moment: 0.0000 μB per atom. Its volume is 129.9 Å³/f.u. As for the energy: -46.94 eV for the cell shown. As for the density of states at the Fermi level: 6.1 states/eV/f.u.

Geometry as Quantum ESPRESSO input:
```
&SYSTEM
  ibrav = 0, nat = 6, ntyp = 2
/
ATOMIC_SPECIES
Zr 91.22 Zr.upf
Cd 112.41 Cd.upf
CELL_PARAMETERS angstrom
3.115 0.000 0.000
0.000 3.115 0.000
0.000 0.000 13.384
ATOMIC_POSITIONS angstrom
Zr 0.000 0.000 0.000
Zr 0.000 0.000 4.483
Zr 0.000 0.000 8.901
Zr 1.557 1.557 2.231
Zr 1.557 1.557 11.153
Cd 1.557 1.557 6.692
```


[7]
This record from the Alexandria database describes Zr2Cd after structural relaxation. The functional is GGA-PBEsol. Values from VASP.

Summary:
As for the total magnetic moment: 0.0000 μB per atom. Its volume is 66.4 Å³/f.u. As for the energy: -19.46 eV for the cell shown. As for the density of states at the Fermi level: 2.4 states/eV/f.u.

Geometry as Quantum ESPRESSO input:
```
&SYSTEM
  ibrav = 0, nat = 3, ntyp = 2
/
ATOMIC_SPECIES
Zr 91.22 Zr.upf
Cd 112.41 Cd.upf
CELL_PARAMETERS angstrom
3.206 0.000 0.000
-1.603 2.777 0.000
0.000 0.000 7.457
ATOMIC_POSITIONS angstrom
Zr 0.000 1.851 1.206
Zr 1.603 0.926 6.251
Cd 0.000 0.000 3.728
```


[8]
This record from the Alexandria database describes Zr3Cd after structural relaxation. The functional is GGA-PBEsol. Values from VASP.

Summary:
As for the total magnetic moment: 0.0000 μB per atom. Its volume is 85.6 Å³/f.u. As for the energy: -28.56 eV for the cell shown. As for the density of states at the Fermi level: 4.1 states/eV/f.u.

Geometry as Quantum ESPRESSO input:
```
&SYSTEM
  ibrav = 0, nat = 4, ntyp = 2
/
ATOMIC_SPECIES
Zr 91.22 Zr.upf
Cd 112.41 Cd.upf
CELL_PARAMETERS angstrom
3.061 0.000 0.000
0.000 5.168 0.000
0.000 0.000 5.412
ATOMIC_POSITIONS angstrom
Zr 0.000 0.000 0.000
Zr 0.000 2.584 1.917
Zr 1.531 2.584 4.646
Cd 1.531 0.000 2.759
```


[9]
This record from the Alexandria database describes ZrCd after structural relaxation. The functional is GGA-PBEsol. Values from VASP.

Summary:
As for the total magnetic moment: 0.0001 μB per atom. Its volume is 47.3 Å³/f.u. As for the energy: -18.86 eV for the cell shown. As for the density of states at the Fermi level: 2.6 states/eV/f.u.

Geometry as Quantum ESPRESSO input:
```
&SYSTEM
  ibrav = 0, nat = 4, ntyp = 2
/
ATOMIC_SPECIES
Zr 91.22 Zr.upf
Cd 112.41 Cd.upf
CELL_PARAMETERS angstrom
4.393 0.000 0.000
-2.196 3.804 0.000
0.000 0.000 5.657
ATOMIC_POSITIONS angstrom
Zr 0.000 2.536 1.414
Zr 2.196 1.268 4.243
Cd 0.000 0.000 0.000
Cd 0.000 0.000 2.829
```


[10]
This record from the Alexandria database describes ZrCd3 after structural relaxation. The functional is GGA-PBEsol. Values from VASP.

Summary:
As for the total magnetic moment: 0.0000 μB per atom. Its volume is 81.2 Å³/f.u. As for the energy: -26.19 eV for the cell shown. As for the density of states at the Fermi level: 1.5 states/eV/f.u.

Geometry as Quantum ESPRESSO input:
```
&SYSTEM
  ibrav = 0, nat = 8, ntyp = 2
/
ATOMIC_SPECIES
Zr 91.22 Zr.upf
Cd 112.41 Cd.upf
CELL_PARAMETERS angstrom
-2.226 2.226 8.194
2.226 -2.226 8.194
2.226 2.226 -8.194
ATOMIC_POSITIONS angstrom
Zr 0.000 0.000 2.054
Zr 0.000 0.000 14.333
Cd 2.226 0.000 0.000
Cd 2.226 0.000 4.097
Cd 0.000 0.000 6.058
Cd 0.000 2.226 0.000
Cd 0.000 0.000 10.330
Cd 0.000 2.226 4.097
```


[11]
This record from the Alexandria database describes ZrCd5 after structural relaxation. The functional is GGA-PBEsol. Values from VASP.

Summary:
As for the total magnetic moment: 0.0000 μB per atom. Its volume is 123.4 Å³/f.u. As for the energy: -15.33 eV for the cell shown. As for the density of states at the Fermi level: 3.1 states/eV/f.u.

Geometry as Quantum ESPRESSO input:
```
&SYSTEM
  ibrav = 0, nat = 6, ntyp = 2
/
ATOMIC_SPECIES
Zr 91.22 Zr.upf
Cd 112.41 Cd.upf
CELL_PARAMETERS angstrom
5.853 -1.465 0.000
5.853 1.465 0.000
-1.941 0.000 7.195
ATOMIC_POSITIONS angstrom
Zr 0.000 0.000 0.000
Cd 3.148 0.000 0.395
Cd 2.620 0.000 4.780
Cd 5.757 0.000 5.232
Cd 7.158 0.000 2.432
Cd 10.305 0.000 2.776
```


[12]
This record from the Alexandria database describes ZrCd2 after structural relaxation. The functional is GGA-PBEsol. Values from VASP.

Summary:
As for the total magnetic moment: 0.0000 μB per atom. Its volume is 61.1 Å³/f.u. As for the energy: -23.51 eV for the cell shown. As for the density of states at the Fermi level: 1.7 states/eV/f.u.

Geometry as Quantum ESPRESSO input:
```
&SYSTEM
  ibrav = 0, nat = 6, ntyp = 2
/
ATOMIC_SPECIES
Zr 91.22 Zr.upf
Cd 112.41 Cd.upf
CELL_PARAMETERS angstrom
2.192 -6.302 0.000
2.192 6.302 0.000
0.000 0.000 4.421
ATOMIC_POSITIONS angstrom
Zr 2.192 5.216 3.316
Zr 2.192 -5.216 1.105
Cd 2.192 3.170 1.105
Cd 2.192 1.086 3.316
Cd 2.192 -1.086 1.105
Cd 2.192 -3.170 3.316
```


Q: Which value of total magnetic moment does entry 9 give?
A: 0.0001 μB per atom


Q: energy of number 2 (Zr2Cd)?
A: -39.21 eV for the cell shown


Copy entry 2 word for word.
This record from the Alexandria database describes Zr2Cd after structural relaxation. The functional is GGA-PBEsol. Values from VASP.

Summary:
As for the total magnetic moment: 0.0000 μB per atom. Its volume is 63.8 Å³/f.u. As for the energy: -39.21 eV for the cell shown. As for the density of states at the Fermi level: 2.3 states/eV/f.u.

Geometry as Quantum ESPRESSO input:
```
&SYSTEM
  ibrav = 0, nat = 6, ntyp = 2
/
ATOMIC_SPECIES
Zr 91.22 Zr.upf
Cd 112.41 Cd.upf
CELL_PARAMETERS angstrom
6.197 -1.608 0.000
6.197 1.608 0.000
-1.613 0.000 6.401
ATOMIC_POSITIONS angstrom
Zr -0.373 0.000 1.624
Zr 3.468 0.000 2.658
Zr 7.314 0.000 3.743
Zr 11.155 0.000 4.777
Cd 2.613 0.000 5.898
Cd 8.169 0.000 0.503
```


Q: Which value of energy does entry 10 give?
A: -26.19 eV for the cell shown